(1)
Computed, not measured: CoSi3W after structural relaxation at the PBE level of DFT.

## Properties
- D(E_F): 2.251 states/eV/atom
- Formation energy without anion corrections: 1.109 eV per atom

Structure (POSCAR):
```
CoSi3W
1.0
-3.7280 2.8920 0.1713
-1.2297 -1.8324 4.1739
2.6232 3.2511 2.2002
Co Si W
1 3 1
direct
0.5000 0.5000 0.5000
0.0000 0.5000 0.0000
0.5000 0.0000 0.0000
0.0000 0.0000 0.5000
0.0000 0.0000 0.0000
```

(2)
Computed, not measured: NdHoCuAu after structural relaxation at the PBE level of DFT.

## Properties
- D(E_F): 0.674 states/eV/atom
- Formation energy: -520 meV/atom

Structure (POSCAR):
```
NdHoCuAu
1.0
-3.4843 1.1969 -1.0103
-1.5041 -4.3156 0.0744
0.3972 -0.0383 5.8071
Au Nd Ho Cu
1 1 1 1
direct
0.5796 0.5000 0.1592
0.8594 0.5000 0.7189
0.1380 0.0000 0.2759
0.4230 0.0000 0.8460
```

(3)
Computed, not measured: CaZr2Te after structural relaxation at the PBE level of DFT.

## Properties
- D(E_F): 0.911 states/eV/atom
- Formation energy without anion corrections: -0.174 eV per atom

Structure (POSCAR):
```
CaZr2Te
1.0
-4.9899 -2.1061 0.5047
-2.6568 -4.7464 -0.0517
-0.1458 -1.3421 5.7574
Te Zr Ca
1 2 1
direct
0.2629 0.2629 0.2202
0.7335 0.7335 0.8141
0.9874 0.9874 0.9915
0.5161 0.5161 0.4742
```

- Look up the D(E_F) of the first one.
  2.251 states/eV/atom

Please write out number 1 again, unchanged.
Computed, not measured: CoSi3W after structural relaxation at the PBE level of DFT.

## Properties
- D(E_F): 2.251 states/eV/atom
- Formation energy without anion corrections: 1.109 eV per atom

Structure (POSCAR):
```
CoSi3W
1.0
-3.7280 2.8920 0.1713
-1.2297 -1.8324 4.1739
2.6232 3.2511 2.2002
Co Si W
1 3 1
direct
0.5000 0.5000 0.5000
0.0000 0.5000 0.0000
0.5000 0.0000 0.0000
0.0000 0.0000 0.5000
0.0000 0.0000 0.0000
```

- Which formula does entry 2 have?
  NdHoCuAu

- Which of these has the highest D(E_F)?
  CoSi3W